# Co7P6H4O24

A geometry-optimized Co7P6H4O24 structure (PBE with a Hubbard U, the Open Quantum Materials Database).

Cell and atoms, written as POSCAR:
```
Co7P6H4O24
1.0
6.440 0.000 0.000
-1.539 7.682 0.000
-3.127 -3.059 8.384
Co P H O
7 6 4 24
Direct
0.000 0.000 0.000
0.053 0.716 0.515
0.289 0.815 0.285
0.388 0.460 0.111
0.612 0.540 0.889
0.711 0.185 0.715
0.947 0.284 0.485
0.086 0.579 0.827
0.226 0.144 0.780
0.411 0.232 0.373
0.589 0.768 0.627
0.774 0.856 0.220
0.914 0.421 0.173
0.183 0.871 0.816
0.373 0.427 0.565
0.627 0.573 0.435
0.817 0.129 0.184
0.012 0.166 0.662
0.052 0.543 0.652
0.115 0.786 0.907
0.127 0.543 0.164
0.213 0.932 0.730
0.226 0.188 0.950
0.258 0.051 0.234
0.272 0.296 0.478
0.305 0.533 0.912
0.380 0.799 0.510
0.451 0.246 0.773
0.484 0.391 0.315
0.516 0.609 0.685
0.549 0.754 0.227
0.620 0.201 0.490
0.695 0.467 0.088
0.728 0.704 0.522
0.742 0.949 0.766
0.774 0.812 0.050
0.787 0.068 0.270
0.873 0.457 0.836
0.885 0.214 0.093
0.948 0.457 0.348
0.988 0.834 0.338
```

## Properties
Total magnetization, μB per formula unit: 21.000
Calculated total energy, eV per cell: -270.560
Theoretical density, g/cm³: 3.95